Entry 1:
Material: IrOs2Pb
Method: DFT, PBE
State: optimized geometry

Unit cell a=4.0572 b=4.0572 c=7.9301 alpha=90.00 beta=90.00 gamma=90.00
Space group I-4m2 (No. 119)
Asymmetric unit:
1 Ir 0.0000 0.0000 0.0000
2 Os 0.0000 0.0000 0.5000
3 Os 0.0000 0.5000 0.7500
4 Pb 0.0000 0.5000 0.2500

For the total energy, the calculation gives -7.985 eV per atom.

***

Entry 2:
Material: ZnRe2Ir
Method: DFT, PBE
State: optimized geometry

Unit cell a=3.0150 b=4.2710 c=4.5813 alpha=90.00 beta=90.00 gamma=90.00
Space group Pmmm (No. 47)
Asymmetric unit:
1 Zn 0.0000 0.0000 0.0000
2 Re 0.0000 0.5000 0.5000
3 Re 0.5000 0.0000 0.5000
4 Ir 0.5000 0.5000 0.0000

The energy above the lowest structure with this stoichiometry comes out at 22.2 kJ per mole of atoms. For the total energy, the calculation gives -8.532 eV per atom.

***

Entry 3:
Material: YGa2Ir
Method: DFT, PBE
State: optimized geometry

Unit cell a=7.9739 b=6.8088 c=5.5647 alpha=90.00 beta=90.00 gamma=90.00
Space group Pnma (No. 62)
Asymmetric unit:
1 Y 0.0467 0.2500 0.1192
2 Ga 0.1713 0.0529 0.6137
3 Ir 0.1096 0.7500 0.3551

For the total energy, the calculation gives -6.066 eV per atom.

***

Entry 4:
Material: Be4NiOs
Method: DFT, PBE
State: optimized geometry

Unit cell a=2.4370 b=3.7110 c=6.8395 alpha=90.00 beta=90.00 gamma=90.00
Space group Pmmm (No. 47)
Asymmetric unit:
1 Be 0.0000 0.0000 0.1863
2 Be 0.5000 0.5000 0.2814
3 Ni 0.0000 0.5000 0.0000
4 Os 0.5000 0.0000 0.5000

The energy above the lowest structure with this stoichiometry comes out at 30.0 kJ per mole of atoms. For the total energy, the calculation gives -5.269 eV per atom.

***

In the order shown, the computed formation energy from the elements values come out to 0.77, 0.23, -0.72, 0.05 eV per atom.